1.
A geometry-optimized RbLiLa2S4 structure, computed with PBE.

Calculated values
Its uncorrected formation energy is -1.8971 eV per atom. The magnetization is 0.00 μB per formula unit. The calculation puts the total energy at -5.55 eV/atom.

Cell: 4.2721 7.4522 14.4820 Å, 90.00 90.00 106.66°
With the nearest neighbours (Å) after each atom.
Element x y z (fractional)
Rb1 0.1056 0.2113 0.7500  6 S 3.42-3.55
Rb2 0.8944 0.7887 0.2500  6 S 3.42-3.55
Li1 0.8334 0.6669 0.7500  4 S 2.43-2.46
Li2 0.1666 0.3331 0.2500  4 S 2.43-2.46
La1 0.3665 0.7330 0.5595  6 S 2.86-2.99
La2 0.6335 0.2670 0.0595  6 S 2.86-2.99
La3 0.6335 0.2670 0.4405  6 S 2.86-2.99
La4 0.3665 0.7330 0.9405  6 S 2.86-2.99
S1 0.2576 0.5153 0.1081  1 Li 2.43
S2 0.7424 0.4847 0.6081  1 Li 2.43
S3 0.7424 0.4847 0.8919  1 Li 2.43
S4 0.2576 0.5153 0.3919  1 Li 2.43
S5 0.0000 0.0000 0.5000  4 La 2.99
S6 0.0000 0.0000 0.0000  4 La 2.99
S7 0.4189 0.8378 0.7500  2 Li 2.46
S8 0.5811 0.1622 0.2500  2 Li 2.46

2.
A geometry-optimized RbLi2LaTi structure, computed with PBE.

Calculated values
The value obtained for the energy relative to the elements is 1.080 eV/atom. The magnetization is 2.88 μB per formula unit. The calculation puts the total energy at -2.44 eV/atom.

Cell: 5.3825 5.7629 5.3825 Å, 90.00 90.00 90.00°
With the nearest neighbours (Å) after each atom.
Element x y z (fractional)
Ti1 0.0000 0.0000 0.0000  4 Li 2.69, 2 Rb 2.88
Li1 0.0000 0.0000 0.5000  2 Ti 2.69
Li2 0.5000 0.0000 0.0000  2 Ti 2.69
Rb1 0.0000 0.5000 0.0000  2 Ti 2.88
La1 0.5000 0.5000 0.5000  4 Rb 3.81, 8 Li 3.94

3.
A geometry-optimized RbLiLa2W structure, computed with PBE.

Calculated values
The value obtained for the energy relative to the elements is 0.662 eV/atom. The magnetization is 0.00 μB per formula unit. The calculation puts the total energy at -4.48 eV/atom.

Cell: 5.5420 6.0275 5.5420 Å, 90.00 90.00 90.00°
With the nearest neighbours (Å) after each atom.
Element x y z (fractional)
Li1 0.0000 0.5000 0.0000  2 W 3.01
Rb1 0.5000 0.5000 0.5000  4 Li 3.92, 8 La 4.09
W1 0.0000 0.0000 0.0000  4 La 2.77, 2 Li 3.01
La1 0.0000 0.0000 0.5000  2 W 2.77
La2 0.5000 0.0000 0.0000  2 W 2.77

4.
A geometry-optimized RbLi2LaZr structure, computed with PBE.

Calculated values
The value obtained for the energy relative to the elements is 1.189 eV/atom. The magnetization is 2.07 μB per formula unit. The calculation puts the total energy at -2.47 eV/atom.

Cell: 5.4048 5.8271 5.4048 Å, 90.00 90.00 90.00°
With the nearest neighbours (Å) after each atom.
Element x y z (fractional)
Li1 0.0000 0.0000 0.5000  2 Zr 2.70
Li2 0.5000 0.0000 0.0000  2 Zr 2.70
Rb1 0.0000 0.5000 0.0000  2 Zr 2.91
Zr1 0.0000 0.0000 0.0000  4 Li 2.70, 2 Rb 2.91
La1 0.5000 0.5000 0.5000  4 Rb 3.82, 8 Li 3.97

5.
A geometry-optimized Li2LaRe structure, computed with PBE.

Calculated values
The value obtained for the energy relative to the elements is 0.443 eV/atom. The magnetization is 0.00 μB per formula unit. The calculation puts the total energy at -4.86 eV/atom.

Cell: 2.8728 3.8206 7.4832 Å, 90.00 90.00 90.00°
With the nearest neighbours (Å) after each atom.
Element x y z (fractional)
La1 0.5000 0.5000 0.7026  2 La 2.87, 4 Re 3.05
Li1 0.0000 0.0000 0.0773  1 Re 2.79, 6 Li 2.79-2.87
Li2 0.5000 0.5000 0.2704  4 Re 2.74, 6 Li 2.79-2.87
Re1 0.0000 0.0000 0.4497  5 Li 2.74-2.79, 2 Re 2.87, 4 La 3.05

6.
A geometry-optimized Li2LaRe structure, computed with PBE.

Calculated values
The value obtained for the energy relative to the elements is 0.455 eV/atom. The magnetization is 0.00 μB per formula unit. The calculation puts the total energy at -4.85 eV/atom.

Cell: 2.9697 2.9697 10.0677 Å, 90.00 90.00 112.71°
With the nearest neighbours (Å) after each atom.
Element x y z (fractional)
La1 0.5000 0.5000 0.7152  2 Re 2.85, 4 La 2.97
Li1 0.0000 0.0000 0.0274  8 Li 2.97-3.29
Li2 0.5000 0.5000 0.2738  2 Re 2.68, 6 Li 2.97-2.98
Re1 0.0000 0.0000 0.4836  2 Li 2.68, 2 La 2.85, 4 Re 2.97

7.
A geometry-optimized LiLa3Re structure, computed with PBE.

Calculated values
The value obtained for the energy relative to the elements is 0.212 eV/atom. The magnetization is 0.00 μB per formula unit. The calculation puts the total energy at -5.62 eV/atom.

Cell: 5.6392 5.6392 5.6392 Å, 90.00 90.00 90.00°
With the nearest neighbours (Å) after each atom.
Element x y z (fractional)
Re1 0.0000 0.0000 0.0000  6 La 2.82
Li1 0.5000 0.5000 0.5000  12 La 3.99
La1 0.0000 0.5000 0.0000  2 Re 2.82
La2 0.0000 0.0000 0.5000  2 Re 2.82
La3 0.5000 0.0000 0.0000  2 Re 2.82

8.
A geometry-optimized Li2LaRe structure, computed with PBE.

Calculated values
The value obtained for the energy relative to the elements is 0.560 eV/atom. The magnetization is 0.48 μB per formula unit. The calculation puts the total energy at -4.74 eV/atom.

Cell: 10.8343 10.8343 10.8343 Å, 15.71 15.71 15.71°
With the nearest neighbours (Å) after each atom.
Element x y z (fractional)
La1 0.7576 0.7576 0.7576  6 La 2.96, 3 Re 3.18
Li1 0.9912 0.9912 0.9912  9 Li 2.96-3.12
Li2 0.2432 0.2432 0.2432  3 Re 2.79, 9 Li 2.96-3.12
Re1 0.5080 0.5080 0.5080  3 Li 2.79, 6 Re 2.96

9.
A geometry-optimized Li2LaRe structure, computed with PBE.

Calculated values
The value obtained for the energy relative to the elements is 0.657 eV/atom. The magnetization is 0.00 μB per formula unit. The calculation puts the total energy at -4.64 eV/atom.

Cell: 4.0275 4.0275 10.8481 Å, 79.30 79.30 90.00°
With the nearest neighbours (Å) after each atom.
Element x y z (fractional)
Re1 0.0000 0.0000 0.0000  4 La 2.85, 4 Li 2.90
Re2 0.7500 0.2500 0.5000  4 La 2.85, 4 Li 2.90
Li1 0.0544 0.1250 0.2500  2 Li 2.48
Li2 0.6956 0.6250 0.2500  2 Li 2.48
Li3 0.3750 0.9456 0.7500  2 Li 2.48
Li4 0.8750 0.3044 0.7500  2 Li 2.48
La1 0.5000 0.5000 0.0000  4 Re 2.85, 4 Li 3.09
La2 0.2500 0.7500 0.5000  4 Re 2.85, 4 Li 3.09

10.
A geometry-optimized LiLaRe3 structure, computed with PBE.

Calculated values
The value obtained for the energy relative to the elements is 2.850 eV/atom. The magnetization is 0.00 μB per formula unit. The calculation puts the total energy at -5.99 eV/atom.

Cell: 4.8618 4.8618 4.8618 Å, 90.00 90.00 90.00°
With the nearest neighbours (Å) after each atom.
Element x y z (fractional)
Re1 0.0000 0.5000 0.0000  2 La 2.43
Re2 0.0000 0.0000 0.5000  2 La 2.43
Re3 0.5000 0.0000 0.0000  2 La 2.43
Li1 0.5000 0.5000 0.5000  12 Re 3.44
La1 0.0000 0.0000 0.0000  6 Re 2.43

11.
A geometry-optimized Li2LaRe structure, computed with PBE.

Calculated values
The value obtained for the energy relative to the elements is 0.563 eV/atom. The magnetization is 0.00 μB per formula unit. The calculation puts the total energy at -4.74 eV/atom.

Cell: 2.7480 2.7480 10.0078 Å, 90.00 90.00 90.00°
With the nearest neighbours (Å) after each atom.
Element x y z (fractional)
La1 0.5000 0.5000 0.7500  4 La 2.75
Li1 0.0000 0.0000 0.0453  4 Li 2.75, 4 Re 2.82
Li2 0.0000 0.0000 0.4547  4 Li 2.75, 4 Re 2.82
Re1 0.5000 0.5000 0.2500  4 Re 2.75, 8 Li 2.82

12.
A geometry-optimized Li2La2Re structure, computed with PBE.

Calculated values
The value obtained for the energy relative to the elements is 0.503 eV/atom. The magnetization is 0.00 μB per formula unit. The calculation puts the total energy at -4.72 eV/atom.

Cell: 7.0515 7.0515 4.4476 Å, 90.00 90.00 90.00°
With the nearest neighbours (Å) after each atom.
Element x y z (fractional)
Re1 0.0000 0.0000 0.0000  4 Li 2.82
Re2 0.5000 0.5000 0.0000  4 Li 2.82
Li1 0.3812 0.8812 0.0000  1 Li 2.37
Li2 0.8812 0.6188 0.0000  1 Li 2.37
Li3 0.6188 0.1188 0.0000  1 Li 2.37
Li4 0.1188 0.3812 0.0000  1 Li 2.37
La1 0.2090 0.7090 0.5000  2 Li 2.81
La2 0.7090 0.7910 0.5000  2 Li 2.81
La3 0.7910 0.2910 0.5000  2 Li 2.81
La4 0.2910 0.2090 0.5000  2 Li 2.81

13.
A geometry-optimized Li3LaRe structure, computed with PBE.

Calculated values
The value obtained for the energy relative to the elements is 1.958 eV/atom. The magnetization is 1.11 μB per formula unit. The calculation puts the total energy at -2.67 eV/atom.

Cell: 4.6054 4.6054 4.6054 Å, 90.00 90.00 90.00°
With the nearest neighbours (Å) after each atom.
Element x y z (fractional)
Re1 0.5000 0.5000 0.5000  12 Li 3.26
Li1 0.0000 0.5000 0.0000  2 La 2.30
Li2 0.0000 0.0000 0.5000  2 La 2.30
Li3 0.5000 0.0000 0.0000  2 La 2.30
La1 0.0000 0.0000 0.0000  6 Li 2.30

14.
A geometry-optimized Li2LaRe structure, computed with PBE.

Calculated values
The value obtained for the energy relative to the elements is 0.544 eV/atom. The magnetization is 0.00 μB per formula unit. The calculation puts the total energy at -4.76 eV/atom.

Cell: 5.3334 5.3334 5.3334 Å, 143.55 122.47 70.05°
With the nearest neighbours (Å) after each atom.
Element x y z (fractional)
La1 0.2598 0.7598 0.5000  2 Re 2.78, 6 Li 2.98-3.06
Li1 0.9767 0.9767 0.0000  2 Li 2.59
Li2 0.7498 0.2498 0.5000  2 Li 2.59, 2 Re 2.65
Re1 0.5138 0.5138 0.0000  2 Li 2.65, 2 La 2.78